[1]
The following is a DFT calculation (PBE) of crystalline LiZnPdPb at its relaxed geometry. Values from VASP.

V	17.620	Å³/atom
theoretical density	9.09	g/cm3
E_form	-0.305	eV per atom

Structure (Quantum ESPRESSO input):
```
&SYSTEM
  ibrav = 0, nat = 4, ntyp = 4
/
ATOMIC_SPECIES
Pd 106.42 Pd.upf
Li 6.94 Li.upf
Pb 207.20 Pb.upf
Zn 65.41 Zn.upf
CELL_PARAMETERS angstrom
4.637 0.000 0.000
2.318 4.015 0.000
2.318 1.338 3.786
ATOMIC_POSITIONS angstrom
Pd 4.637 2.677 1.893
Li 0.000 0.000 0.000
Pb 2.318 1.338 0.946
Zn 6.955 4.015 2.839
```

---

[2]
The following is a DFT calculation (PBE) of crystalline LiZrPdPb at its relaxed geometry. Values from VASP.

V	19.491	Å³/atom
theoretical density	8.77	g/cm3
E_form	-0.353	eV per atom

Structure (Quantum ESPRESSO input):
```
&SYSTEM
  ibrav = 0, nat = 4, ntyp = 4
/
ATOMIC_SPECIES
Pb 207.20 Pb.upf
Zr 91.22 Zr.upf
Li 6.94 Li.upf
Pd 106.42 Pd.upf
CELL_PARAMETERS angstrom
-1.278 4.621 -0.027
-3.924 1.388 -2.380
-3.890 1.426 2.415
ATOMIC_POSITIONS angstrom
Pb 0.000 0.000 0.000
Zr -6.819 5.577 0.005
Li -2.273 1.859 0.002
Pd -4.546 3.718 0.004
```